Entry 1:
The following is a PBE-GGA calculation of crystalline DyPu2Ni at its relaxed geometry, from the Alexandria database.

a = 3.4564 Å, b = 3.4564 Å, c = 8.0571 Å
α = 90.00°, β = 90.00°, γ = 90.00°
Last column: nearest neighbours and their distance in Å.
Atoms (fractional coordinates):
Ni 0.5000 0.5000 0.0000  8 Pu 2.89
Dy 0.5000 0.5000 0.5000  4 Dy 3.46, 8 Pu 3.49
Pu 0.0000 0.0000 0.8084  4 Ni 2.89, 1 Pu 3.09
Pu 0.0000 0.0000 0.1916  4 Ni 2.89, 1 Pu 3.09

Computed properties:
Offset from the most stable computed form = 0 meV/atom
Electronic total energy = -38.7 eV for the cell shown
ΔE_f = 0.079 eV per atom

***

Entry 2:
The following is a PBE-GGA calculation of crystalline DyPu2Ni9 at its relaxed geometry, from the Alexandria database.

a = 4.9321 Å, b = 4.9321 Å, c = 8.6227 Å
α = 73.38°, β = 73.38°, γ = 60.00°
Last column: nearest neighbours and their distance in Å.
Atoms (fractional coordinates):
Dy 0.0000 0.0000 0.0000  18 Ni 2.85-3.17
Pu 0.8576 0.8576 0.4272  12 Ni 2.88-3.02, 3 Pu 3.08
Pu 0.1424 0.1424 0.5728  12 Ni 2.88-3.02, 3 Pu 3.08
Ni 0.6671 0.6671 0.9988  6 Ni 2.44-2.46
Ni 0.3329 0.3329 0.0012  6 Ni 2.44-2.46
Ni 0.5000 0.5000 0.5000  6 Ni 2.52
Ni 0.4181 0.4181 0.2453  7 Ni 2.44-2.52
Ni 0.9186 0.4181 0.2453  7 Ni 2.44-2.52
Ni 0.4181 0.9186 0.2453  7 Ni 2.44-2.52
Ni 0.5819 0.5819 0.7547  7 Ni 2.44-2.52
Ni 0.5819 0.0814 0.7547  7 Ni 2.44-2.52
Ni 0.0814 0.5819 0.7547  7 Ni 2.44-2.52

Computed properties:
Electronic total energy = -89.0 eV for the cell shown
ΔE_f = -0.306 eV per atom

***

Entry 3:
The following is a PBE-GGA calculation of crystalline Dy2PuNi at its relaxed geometry, from the Alexandria database.

a = 3.4050 Å, b = 3.4050 Å, c = 8.5067 Å
α = 90.00°, β = 90.00°, γ = 90.00°
Last column: nearest neighbours and their distance in Å.
Atoms (fractional coordinates):
Ni 0.5000 0.5000 0.0000  8 Dy 2.91
Dy 0.0000 0.0000 0.8087  4 Ni 2.91, 1 Dy 3.25
Dy 0.0000 0.0000 0.1913  4 Ni 2.91, 1 Dy 3.25
Pu 0.5000 0.5000 0.5000  4 Pu 3.41, 8 Dy 3.56

Computed properties:
Offset from the most stable computed form = 0 meV/atom
Electronic total energy = -29.7 eV for the cell shown
ΔE_f = -0.104 eV per atom

***

Entry 4:
The following is a PBE-GGA calculation of crystalline DyPu3Ni8 at its relaxed geometry, from the Alexandria database.

a = 5.0499 Å, b = 5.0499 Å, c = 8.7423 Å
α = 73.21°, β = 73.21°, γ = 60.00°
Last column: nearest neighbours and their distance in Å.
Atoms (fractional coordinates):
Dy 0.8764 0.8764 0.3707  12 Ni 2.94-2.97, 4 Pu 3.13-3.14
Pu 0.3734 0.3734 0.8799  12 Ni 2.94-2.99, 4 Pu 3.05
Pu 0.0034 0.0034 0.9898  12 Ni 2.90-3.01, 3 Pu 3.05, 1 Dy 3.14
Pu 0.4967 0.4967 0.5100  12 Ni 2.91-3.02, 1 Pu 3.05, 3 Dy 3.13
Ni 0.9353 0.4378 0.1891  6 Ni 2.51-2.54
Ni 0.4393 0.9376 0.6855  6 Ni 2.51-2.54
Ni 0.4378 0.4378 0.1891  6 Ni 2.51-2.54
Ni 0.9376 0.9376 0.6855  6 Ni 2.51-2.54
Ni 0.1874 0.1874 0.4377  6 Ni 2.51-2.52
Ni 0.6873 0.6873 0.9380  6 Ni 2.53-2.54
Ni 0.4378 0.9353 0.1891  6 Ni 2.51-2.54
Ni 0.9376 0.4393 0.6855  6 Ni 2.51-2.54

Computed properties:
Electronic total energy = -97.5 eV for the cell shown
ΔE_f = -0.306 eV per atom

***

Entry 5:
The following is a PBE-GGA calculation of crystalline DyPu2Ni at its relaxed geometry, from the Alexandria database.

a = 4.6519 Å, b = 4.6519 Å, c = 5.8549 Å
α = 66.59°, β = 66.59°, γ = 60.00°
Last column: nearest neighbours and their distance in Å.
Atoms (fractional coordinates):
Ni 0.0000 0.0000 0.0000  6 Pu 2.81
Dy 0.5000 0.5000 0.5000  8 Pu 3.22-3.43
Pu 0.2801 0.2801 0.1598  3 Ni 2.81
Pu 0.7199 0.7199 0.8402  3 Ni 2.81

Computed properties:
Offset from the most stable computed form = 239 meV/atom
Electronic total energy = -37.8 eV for the cell shown
ΔE_f = 0.318 eV per atom

***

Entry 6:
The following is a PBE-GGA calculation of crystalline DyPuNi at its relaxed geometry, from the Alexandria database.

a = 3.7508 Å, b = 3.7508 Å, c = 6.2647 Å
α = 90.00°, β = 90.00°, γ = 120.00°
Last column: nearest neighbours and their distance in Å.
Atoms (fractional coordinates):
Ni 0.6667 0.3333 0.3331  3 Dy 2.70, 3 Pu 2.71
Dy 0.0000 0.0000 0.0744  3 Ni 2.70
Pu 0.3333 0.6667 0.5924  3 Ni 2.71

Computed properties:
Offset from the most stable computed form = 114 meV/atom
Electronic total energy = -24.6 eV for the cell shown
ΔE_f = 0.042 eV per atom

***

Entry 7:
The following is a PBE-GGA calculation of crystalline Dy2PuNi at its relaxed geometry, from the Alexandria database.

a = 3.5038 Å, b = 3.5038 Å, c = 10.4975 Å
α = 80.39°, β = 80.39°, γ = 60.00°
Last column: nearest neighbours and their distance in Å.
Atoms (fractional coordinates):
Ni 0.5000 0.5000 0.5000  6 Dy 2.70
Dy 0.1088 0.1088 0.6735  3 Ni 2.70
Dy 0.8912 0.8912 0.3265  3 Ni 2.70
Pu 0.0000 0.0000 0.0000  2 Dy 3.36, 6 Pu 3.50

Computed properties:
Offset from the most stable computed form = 281 meV/atom
Electronic total energy = -28.6 eV for the cell shown
ΔE_f = 0.177 eV per atom

***

Entry 8:
The following is a PBE-GGA calculation of crystalline Dy2PuNi9 at its relaxed geometry, from the Alexandria database.

a = 4.9659 Å, b = 4.9659 Å, c = 8.5969 Å
α = 73.21°, β = 73.21°, γ = 60.00°
Last column: nearest neighbours and their distance in Å.
Atoms (fractional coordinates):
Dy 0.8612 0.8612 0.4164  12 Ni 2.84-3.08, 3 Dy 3.17
Dy 0.1388 0.1388 0.5836  12 Ni 2.84-3.08, 3 Dy 3.17
Pu 0.0000 0.0000 0.0000  18 Ni 2.87-3.19
Ni 0.6670 0.6670 0.9989  6 Ni 2.45-2.47
Ni 0.3330 0.3330 0.0011  6 Ni 2.45-2.47
Ni 0.5000 0.5000 0.5000  6 Ni 2.51
Ni 0.4175 0.4175 0.2465  7 Ni 2.45-2.51
Ni 0.9186 0.4175 0.2465  7 Ni 2.45-2.51
Ni 0.4175 0.9186 0.2465  7 Ni 2.45-2.51
Ni 0.5825 0.5825 0.7535  7 Ni 2.45-2.51
Ni 0.5825 0.0814 0.7535  7 Ni 2.45-2.51
Ni 0.0814 0.5825 0.7535  7 Ni 2.45-2.51

Computed properties:
Electronic total energy = -79.7 eV for the cell shown
ΔE_f = -0.340 eV per atom

***

Entry 9:
The following is a PBE-GGA calculation of crystalline Dy3PuNi8 at its relaxed geometry, from the Alexandria database.

a = 5.0632 Å, b = 5.0632 Å, c = 8.7643 Å
α = 73.21°, β = 73.21°, γ = 60.00°
Last column: nearest neighbours and their distance in Å.
Atoms (fractional coordinates):
Dy 0.3758 0.3758 0.8726  12 Ni 2.95-2.97, 4 Dy 3.12
Dy 0.9983 0.9983 0.0050  12 Ni 2.94-2.99, 1 Pu 3.08, 3 Dy 3.12
Dy 0.5017 0.5017 0.4949  12 Ni 2.94-3.00, 3 Pu 3.08, 1 Dy 3.12
Pu 0.8742 0.8742 0.3774  12 Ni 2.96-2.98, 4 Dy 3.08
Ni 0.9397 0.4369 0.1865  6 Ni 2.52-2.55
Ni 0.4363 0.9374 0.6888  6 Ni 2.52-2.54
Ni 0.4369 0.4369 0.1865  6 Ni 2.52-2.55
Ni 0.9374 0.9374 0.6888  6 Ni 2.52-2.54
Ni 0.1877 0.1877 0.4368  6 Ni 2.53-2.54
Ni 0.6875 0.6875 0.9374  6 Ni 2.52-2.53
Ni 0.4369 0.9397 0.1865  6 Ni 2.52-2.55
Ni 0.9374 0.4363 0.6888  6 Ni 2.52-2.54

Computed properties:
Electronic total energy = -79.1 eV for the cell shown
ΔE_f = -0.391 eV per atom

***

Entry 10:
The following is a PBE-GGA calculation of crystalline DyPuNi at its relaxed geometry, from the Alexandria database.

a = 3.3808 Å, b = 3.3808 Å, c = 6.4569 Å
α = 105.18°, β = 105.18°, γ = 90.00°
Last column: nearest neighbours and their distance in Å.
Atoms (fractional coordinates):
Ni 0.6706 0.6706 0.3412  4 Dy 2.85, 4 Pu 2.93
Pu 0.0289 0.0289 0.0578  4 Ni 2.93, 1 Dy 3.26
Dy 0.3005 0.3005 0.6010  4 Ni 2.85

Computed properties:
Offset from the most stable computed form = 0 meV/atom
Electronic total energy = -24.9 eV for the cell shown
ΔE_f = -0.073 eV per atom

***

Entry 11:
The following is a PBE-GGA calculation of crystalline DyPuNiRu at its relaxed geometry, from the Alexandria database.

a = 4.7802 Å, b = 4.7802 Å, c = 4.7802 Å
α = 60.00°, β = 60.00°, γ = 60.00°
Last column: nearest neighbours and their distance in Å.
Atoms (fractional coordinates):
Ru 0.2500 0.2500 0.2500  4 Dy 2.93, 4 Pu 2.93
Dy 0.0000 0.0000 0.0000  4 Ru 2.93, 4 Ni 2.93
Ni 0.7500 0.7500 0.7500  4 Pu 2.93, 4 Dy 2.93
Pu 0.5000 0.5000 0.5000  4 Ni 2.93, 4 Ru 2.93

Computed properties:
Electronic total energy = -34.8 eV for the cell shown
ΔE_f = -0.207 eV per atom

***

Number 1: M_tot 11.57 μB/f.u.. Number 2: M_tot 8.83 μB/f.u.. Number 3: M_tot 6.73 μB/f.u.. Number 4: M_tot 15.29 μB/f.u.. Number 5: M_tot 11.68 μB/f.u.. Number 6: M_tot 6.12 μB/f.u.. Number 7: M_tot 6.34 μB/f.u.. Number 8: M_tot 3.61 μB/f.u.. Number 9: M_tot 5.17 μB/f.u.. Number 10: M_tot 6.17 μB/f.u.. Number 11: M_tot 4.47 μB/f.u..